Record 1
Sr2SeCl (PBE, optimized geometry); magnetic moment = 0.002 μB per formula unit; raw formation energy = -1.837 eV per atom; energy above the lowest structure with this stoichiometry = 0 meV per atom
1.0
4.4376 -0.0018 -0.0011
2.2232 3.8406 -0.0011
2.2118 1.2747 7.0557
Cl Se Sr
1 1 2
direct
0.7500 0.7500 0.7500
0.2500 0.2500 0.2500
0.9971 0.9971 0.0084
0.5029 0.5029 0.4916

---

Record 2
Ti2Mn2Pd (PBE, optimized geometry); magnetic moment = 0.806 μB per formula unit; ΔH_f (0 K) = -0.138 eV per atom
1.0
6.7963 0.0000 0.0000
0.0000 6.7963 0.0000
0.0000 0.0000 3.0530
Mn Pd Ti
4 2 4
direct
0.3933 0.8933 0.0000
0.8933 0.6067 0.0000
0.6067 0.1067 0.0000
0.1067 0.3933 0.0000
0.0000 0.0000 0.0000
0.5000 0.5000 0.0000
0.1935 0.6935 0.5000
0.6935 0.8065 0.5000
0.8065 0.3065 0.5000
0.3065 0.1935 0.5000

---

Record 3
Ti2VIr (PBE, optimized geometry); magnetic moment = 1.660 μB per formula unit; energy above the lowest structure with this stoichiometry = 0 meV per atom; ΔH_f (0 K) = -0.538 eV per atom
1.0
0.0000 3.1082 3.1082
3.1082 0.0000 3.1082
3.1082 3.1082 0.0000
V Ir Ti
1 1 2
direct
0.0000 0.0000 0.0000
0.5000 0.5000 0.5000
0.2500 0.2500 0.2500
0.7500 0.7500 0.7500

---

Record 4
DyThTlCu (PBE, optimized geometry); magnetic moment = 0.763 μB per formula unit; ΔH_f (0 K) = -0.092 eV per atom
1.0
5.2684 0.0000 0.0000
2.6342 4.5625 0.0000
2.6342 1.5208 4.3016
Tl Cu Th Dy
1 1 1 1
direct
0.7500 0.7500 0.7500
0.2500 0.2500 0.2500
0.5000 0.5000 0.5000
0.0000 0.0000 0.0000

---

Record 5
TiAlNO2 (PBE, optimized geometry); magnetic moment = 0.000 μB per formula unit; raw formation energy = -1.450 eV per atom
1.0
-2.4495 -2.5425 0.0360
1.7425 -1.7147 -2.5473
2.0193 -1.9078 2.6655
N Al O Ti
1 1 2 1
direct
0.0000 0.0000 0.5000
0.0000 0.0000 0.0000
0.0000 0.5000 0.0000
0.5000 0.0000 0.0000
0.5000 0.5000 0.5000

---

Record 6
CaNbPb2O6 (PBE, optimized geometry); magnetic moment = 0.000 μB per formula unit; raw formation energy = -1.958 eV per atom
1.0
5.7970 0.0000 -0.0004
0.0000 6.0263 0.0000
0.0505 0.0000 8.3931
Ca Nb Pb O
2 2 4 12
direct
0.5000 0.0000 0.0000
0.0000 0.5000 0.5000
0.5000 0.0000 0.5000
0.0000 0.5000 0.0000
0.0092 0.9593 0.2544
0.5092 0.5407 0.7544
0.9908 0.0407 0.7456
0.4908 0.4593 0.2456
0.2891 0.6748 0.0494
0.7891 0.8252 0.5494
0.7109 0.3252 0.9506
0.2109 0.1748 0.4506
0.3323 0.7173 0.4380
0.8323 0.7827 0.9380
0.6677 0.2827 0.5620
0.1677 0.2173 0.0620
0.8892 0.5465 0.2295
0.3892 0.9535 0.7295
0.1108 0.4535 0.7705
0.6108 0.0465 0.2705

---

Record 7
Sm5Ho12Er2 (PBE, optimized geometry); magnetic moment = 0.000 μB per formula unit; energy above the lowest structure with this stoichiometry = 0 meV per atom; ΔH_f (0 K) = 0.020 eV per atom
1.0
-0.2118 -4.4485 4.2361
0.1160 -8.0419 -6.9607
9.1281 6.6714 5.9620
Sm Ho Er
5 12 2
direct
0.2633 0.4740 0.5527
0.1579 0.6848 0.1315
0.0000 0.0000 0.5000
0.8421 0.3152 0.8685
0.7367 0.5260 0.4473
0.9465 0.1048 0.2880
0.1047 0.7908 0.9215
0.6309 0.7385 0.0267
0.2106 0.5776 0.3411
0.6832 0.6317 0.2368
0.5258 0.9473 0.6059
0.4742 0.0527 0.3941
0.7894 0.4224 0.6589
0.3168 0.3683 0.7632
0.8953 0.2092 0.0785
0.3691 0.2615 0.9733
0.0535 0.8952 0.7120
0.5797 0.8437 0.8176
0.4203 0.1563 0.1824

---

Record 8
TiCdBi (PBE, optimized geometry); magnetic moment = 1.144 μB per formula unit; energy above the lowest structure with this stoichiometry = 113 meV per atom; ΔH_f (0 K) = 0.201 eV per atom
1.0
-1.6455 1.5661 -3.6946
-3.4242 -1.9262 -1.8372
-7.8840 5.8473 3.4443
Bi Ti Cd
2 2 2
direct
0.5944 0.5944 0.2168
0.4056 0.4056 0.7832
0.3080 0.3080 0.0761
0.6920 0.6920 0.9239
0.8614 0.8614 0.4157
0.1386 0.1386 0.5843